Record 1
Material: Sm5Ho12Cd2
Method: DFT, PBE
State: optimized geometry

As for the energy: -4.1850 eV/atom. For the energy of formation from the pure elements, the calculation gives 0.044 eV/atom. The space-group type is C2/m.

Cell and atoms, written as CIF:
```
data_Sm5Ho12Cd2
_chemical_formula_sum 'Sm5 Ho12 Cd2'
_space_group_name_H-M_alt 'P 1'
_space_group_IT_number 1
_space_group_name_Hall 'P 1'
_cell_length_a 9.2466
_cell_length_b 12.0670
_cell_length_c 8.2890
_cell_angle_alpha 131.75
_cell_angle_beta 90.00
_cell_angle_gamma 112.53
loop_
_atom_site_label
_atom_site_type_symbol
_atom_site_fract_x
_atom_site_fract_y
_atom_site_fract_z
Ho1 Ho 0.0786 0.1572 0.2762
Ho2 Ho 0.0368 0.7085 0.9465
Ho3 Ho 0.6717 0.7085 0.9465
Sm1 Sm 0.7010 0.4021 0.3880
Ho4 Ho 0.9632 0.2915 0.0535
Sm2 Sm 0.7656 0.5313 0.1076
Ho5 Ho 0.9214 0.8428 0.7238
Sm3 Sm 0.2990 0.5979 0.6120
Ho6 Ho 0.8193 0.2532 0.5819
Ho7 Ho 0.5548 0.1095 0.7846
Sm4 Sm 0.0000 0.0000 0.5000
Ho8 Ho 0.3283 0.2915 0.0535
Ho9 Ho 0.1807 0.7468 0.4181
Ho10 Ho 0.4452 0.8905 0.2154
Ho11 Ho 0.4339 0.2532 0.5819
Cd1 Cd 0.3253 0.0000 0.0000
Sm5 Sm 0.2344 0.4687 0.8924
Cd2 Cd 0.6747 0.0000 0.0000
Ho12 Ho 0.5661 0.7468 0.4181
```


Record 2
Material: Sm5HoCd4
Method: DFT, PBE
State: optimized geometry

As for the energy: -3.4232 eV/atom. For the energy of formation from the pure elements, the calculation gives -0.240 eV/atom. The space-group type is P4/mmm.

Cell and atoms, written as CIF:
```
data_Sm5HoCd4
_chemical_formula_sum 'Sm5 Ho1 Cd4'
_space_group_name_H-M_alt 'P 1'
_space_group_IT_number 1
_space_group_name_Hall 'P 1'
_cell_length_a 3.7782
_cell_length_b 3.7782
_cell_length_c 20.1859
_cell_angle_alpha 90.00
_cell_angle_beta 90.00
_cell_angle_gamma 90.00
loop_
_atom_site_label
_atom_site_type_symbol
_atom_site_fract_x
_atom_site_fract_y
_atom_site_fract_z
Sm1 Sm 0.5000 0.5000 0.6904
Cd1 Cd 0.0000 0.0000 0.5950
Cd2 Cd 0.0000 0.0000 0.4050
Sm2 Sm 0.5000 0.5000 0.3096
Cd3 Cd 0.0000 0.0000 0.2121
Sm3 Sm 0.5000 0.5000 0.5000
Sm4 Sm 0.5000 0.5000 0.1181
Ho1 Ho 0.0000 0.0000 0.0000
Cd4 Cd 0.0000 0.0000 0.7879
Sm5 Sm 0.5000 0.5000 0.8819
```


Record 3
Material: Sm4HoCd5
Method: DFT, PBE
State: optimized geometry

As for the energy: -3.1182 eV/atom. For the energy of formation from the pure elements, the calculation gives -0.315 eV/atom. The space-group type is P4/mmm.

Cell and atoms, written as CIF:
```
data_Sm4HoCd5
_chemical_formula_sum 'Sm4 Ho1 Cd5'
_space_group_name_H-M_alt 'P 1'
_space_group_IT_number 1
_space_group_name_Hall 'P 1'
_cell_length_a 3.7930
_cell_length_b 3.7930
_cell_length_c 19.0227
_cell_angle_alpha 90.00
_cell_angle_beta 90.00
_cell_angle_gamma 90.00
loop_
_atom_site_label
_atom_site_type_symbol
_atom_site_fract_x
_atom_site_fract_y
_atom_site_fract_z
Cd1 Cd 0.5000 0.5000 0.0943
Sm1 Sm 0.0000 0.0000 0.8029
Ho1 Ho 0.0000 0.0000 0.0000
Cd2 Cd 0.5000 0.5000 0.5000
Cd3 Cd 0.5000 0.5000 0.2984
Sm2 Sm 0.0000 0.0000 0.3990
Cd4 Cd 0.5000 0.5000 0.9057
Sm3 Sm 0.0000 0.0000 0.1971
Cd5 Cd 0.5000 0.5000 0.7016
Sm4 Sm 0.0000 0.0000 0.6010
```


Record 4
Material: Sm5Ho3Cd
Method: DFT, PBE
State: optimized geometry

As for the energy: -3.7647 eV/atom. For the energy of formation from the pure elements, the calculation gives 0.485 eV/atom. The space-group type is C2/m.

Cell and atoms, written as CIF:
```
data_Sm5Ho3Cd
_chemical_formula_sum 'Sm10 Ho6 Cd2'
_space_group_name_H-M_alt 'P 1'
_space_group_IT_number 1
_space_group_name_Hall 'P 1'
_cell_length_a 9.9933
_cell_length_b 9.9933
_cell_length_c 9.1728
_cell_angle_alpha 58.21
_cell_angle_beta 58.21
_cell_angle_gamma 71.24
loop_
_atom_site_label
_atom_site_type_symbol
_atom_site_fract_x
_atom_site_fract_y
_atom_site_fract_z
Ho1 Ho 0.3548 0.3548 0.1989
Ho2 Ho 0.6452 0.6452 0.8011
Sm1 Sm 0.1865 0.1865 0.0562
Sm2 Sm 0.5990 0.0679 0.6470
Ho3 Ho 0.0000 0.0000 0.0000
Ho4 Ho 0.7005 0.7005 0.3820
Sm3 Sm 0.7420 0.2580 0.0000
Sm4 Sm 0.0679 0.5990 0.6470
Sm5 Sm 0.8135 0.8135 0.9438
Ho5 Ho 0.2995 0.2995 0.6180
Sm6 Sm 0.4492 0.4492 0.7521
Ho6 Ho 0.0000 0.0000 0.5000
Cd1 Cd 0.1313 0.1313 0.5947
Sm7 Sm 0.9321 0.4010 0.3530
Cd2 Cd 0.8687 0.8687 0.4053
Sm8 Sm 0.2580 0.7420 0.0000
Sm9 Sm 0.5508 0.5508 0.2479
Sm10 Sm 0.4010 0.9321 0.3530
```


Record 5
Material: SmHoCd3
Method: DFT, PBE
State: optimized geometry

As for the energy: -2.7090 eV/atom. For the energy of formation from the pure elements, the calculation gives -0.301 eV/atom. Its polymorph energy (0 for the lowest one) is 0.00 kJ per mole of atoms. The space-group type is Cmcm.

Cell and atoms, written as CIF:
```
data_SmHoCd3
_chemical_formula_sum 'Sm2 Ho2 Cd6'
_space_group_name_H-M_alt 'P 1'
_space_group_IT_number 1
_space_group_name_Hall 'P 1'
_cell_length_a 3.4669
_cell_length_b 5.0073
_cell_length_c 14.9172
_cell_angle_alpha 90.00
_cell_angle_beta 96.67
_cell_angle_gamma 90.00
loop_
_atom_site_label
_atom_site_type_symbol
_atom_site_fract_x
_atom_site_fract_y
_atom_site_fract_z
Sm1 Sm 0.0751 0.2500 0.1502
Ho1 Ho 0.7849 0.2500 0.5698
Cd1 Cd 0.3777 0.2500 0.7554
Ho2 Ho 0.2151 0.7500 0.4302
Cd2 Cd 0.4760 0.2500 0.9520
Cd3 Cd 0.6223 0.7500 0.2446
Cd4 Cd 0.3233 0.7500 0.6466
Sm2 Sm 0.9249 0.7500 0.8498
Cd5 Cd 0.6767 0.2500 0.3534
Cd6 Cd 0.5240 0.7500 0.0480
```


Record 6
Material: Sm2Ho4Cd
Method: DFT, PBE
State: optimized geometry

As for the energy: -4.0952 eV/atom. For the energy of formation from the pure elements, the calculation gives 0.000 eV/atom. The space-group type is C2/m.

Cell and atoms, written as CIF:
```
data_Sm2Ho4Cd
_chemical_formula_sum 'Sm2 Ho4 Cd1'
_space_group_name_H-M_alt 'P 1'
_space_group_IT_number 1
_space_group_name_Hall 'P 1'
_cell_length_a 3.5708
_cell_length_b 8.1872
_cell_length_c 8.8062
_cell_angle_alpha 118.90
_cell_angle_beta 101.70
_cell_angle_gamma 90.00
loop_
_atom_site_label
_atom_site_type_symbol
_atom_site_fract_x
_atom_site_fract_y
_atom_site_fract_z
Ho1 Ho 0.8571 0.1822 0.7141
Cd1 Cd 0.0000 0.0000 0.0000
Ho2 Ho 0.5591 0.3836 0.1183
Sm1 Sm 0.2128 0.2968 0.4256
Ho3 Ho 0.1429 0.8178 0.2859
Ho4 Ho 0.4409 0.6164 0.8817
Sm2 Sm 0.7872 0.7032 0.5744
```


Record 7
Material: Sm6Ho3Cd
Method: DFT, PBE
State: optimized geometry

As for the energy: -4.2476 eV/atom. For the energy of formation from the pure elements, the calculation gives 0.049 eV/atom. Its polymorph energy (0 for the lowest one) is 6.56 kJ per mole of atoms. The space-group type is Cmc2_1.

Cell and atoms, written as CIF:
```
data_Sm6Ho3Cd
_chemical_formula_sum 'Sm12 Ho6 Cd2'
_space_group_name_H-M_alt 'P 1'
_space_group_IT_number 1
_space_group_name_Hall 'P 1'
_cell_length_a 6.3684
_cell_length_b 11.3007
_cell_length_c 11.3007
_cell_angle_alpha 128.50
_cell_angle_beta 90.00
_cell_angle_gamma 90.00
loop_
_atom_site_label
_atom_site_type_symbol
_atom_site_fract_x
_atom_site_fract_y
_atom_site_fract_z
Cd1 Cd 0.5602 0.8455 0.1545
Sm1 Sm 0.2788 0.7153 0.2847
Sm2 Sm 0.5540 0.2611 0.3728
Ho1 Ho 0.9817 0.7045 0.9560
Sm3 Sm 0.8203 0.0208 0.9792
Ho2 Ho 0.5793 0.5870 0.4130
Sm4 Sm 0.0540 0.7389 0.6272
Sm5 Sm 0.3376 0.0993 0.5326
Ho3 Ho 0.0793 0.4130 0.5870
Sm6 Sm 0.0540 0.3728 0.2611
Sm7 Sm 0.3376 0.4674 0.9007
Ho4 Ho 0.4817 0.9560 0.7045
Sm8 Sm 0.8376 0.5326 0.0993
Sm9 Sm 0.7788 0.2847 0.7153
Sm10 Sm 0.5540 0.6272 0.7389
Ho5 Ho 0.4817 0.2955 0.0440
Ho6 Ho 0.9817 0.0440 0.2955
Cd2 Cd 0.0602 0.1545 0.8455
Sm11 Sm 0.3203 0.9792 0.0208
Sm12 Sm 0.8376 0.9007 0.4674
```


Record 8
Material: SmHo3Cd4
Method: DFT, PBE
State: optimized geometry

As for the energy: -3.0795 eV/atom. For the energy of formation from the pure elements, the calculation gives -0.315 eV/atom. The space-group type is P4/mmm.

Cell and atoms, written as CIF:
```
data_SmHo3Cd4
_chemical_formula_sum 'Sm2 Ho6 Cd8'
_space_group_name_H-M_alt 'P 1'
_space_group_IT_number 1
_space_group_name_Hall 'P 1'
_cell_length_a 5.2786
_cell_length_b 7.5776
_cell_length_c 10.5537
_cell_angle_alpha 90.00
_cell_angle_beta 90.00
_cell_angle_gamma 90.00
loop_
_atom_site_label
_atom_site_type_symbol
_atom_site_fract_x
_atom_site_fract_y
_atom_site_fract_z
Ho1 Ho 0.0000 0.0000 0.0000
Ho2 Ho 0.4997 0.5000 0.2500
Sm1 Sm 0.0000 0.5000 0.5000
Cd1 Cd 0.5000 0.2441 0.0000
Cd2 Cd 0.9996 0.7559 0.2500
Cd3 Cd 0.9996 0.2441 0.2500
Cd4 Cd 0.0004 0.2441 0.7500
Cd5 Cd 0.5000 0.2441 0.5000
Cd6 Cd 0.5000 0.7559 0.5000
Cd7 Cd 0.5000 0.7559 0.0000
Ho3 Ho 0.5003 0.0000 0.7500
Ho4 Ho 0.4997 0.0000 0.2500
Ho5 Ho 0.5003 0.5000 0.7500
Ho6 Ho 0.0000 0.0000 0.5000
Cd8 Cd 0.0004 0.7559 0.7500
Sm2 Sm 0.0000 0.5000 0.0000
```


> The highest energy of formation from the pure elements belongs to which entry?

Sm5Ho3Cd